(1)
# CrTcAs4 | Alexandria | GGA-PBE | relaxed
# M_tot   0.00 Bohr magnetons per cell
# Formation enthalpy at 0 K   -0.277 eV per formula unit
# Electronic total energy   -77.728 eV/cell
# Symmetry   I4_1md, No. 109
# Crystal system   tetragonal
data_CrTcAs4
_chemical_formula_sum 'Cr2 Tc2 As8'
_cell_length_a 6.814
_cell_length_b 6.814
_cell_length_c 6.814
_cell_angle_alpha 102.15
_cell_angle_beta 102.15
_cell_angle_gamma 125.38
_symmetry_space_group_name_H-M 'P 1'
_symmetry_Int_Tables_number 1
_symmetry_space_group_name_Hall 'P 1'
loop_
_atom_site_label
_atom_site_fract_x
_atom_site_fract_y
_atom_site_fract_z
_atom_site_occupancy
As1 0.241 0.523 0.282 1
As2 0.795 0.009 0.785 1
As3 0.273 0.491 0.782 1
As4 0.224 0.009 0.215 1
As5 0.241 0.960 0.718 1
As6 0.759 0.045 0.285 1
As7 0.759 0.474 0.715 1
As8 0.710 0.491 0.218 1
Tc1 0.749 0.749 0.000 1
Tc2 0.499 0.999 0.500 1
Cr1 0.249 0.249 0.000 1
Cr2 0.999 0.499 0.500 1


(2)
# CrTc2As | Alexandria | GGA-PBE | relaxed
# M_tot   1.07 Bohr magnetons per cell
# Formation enthalpy at 0 K   0.475 eV per formula unit
# Electronic total energy   -34.530 eV/cell
# Symmetry   I-4m2, No. 119
# Crystal system   tetragonal
data_CrTc2As
_chemical_formula_sum 'Cr1 Tc2 As1'
_cell_length_a 4.914
_cell_length_b 4.914
_cell_length_c 4.914
_cell_angle_alpha 136.27
_cell_angle_beta 136.27
_cell_angle_gamma 63.56
_symmetry_space_group_name_H-M 'P 1'
_symmetry_Int_Tables_number 1
_symmetry_space_group_name_Hall 'P 1'
loop_
_atom_site_label
_atom_site_fract_x
_atom_site_fract_y
_atom_site_fract_z
_atom_site_occupancy
As1 0.500 0.500 0.000 1
Tc1 0.250 0.750 0.500 1
Tc2 0.000 0.000 0.000 1
Cr1 0.750 0.250 0.500 1


(3)
# CrTc2As | Alexandria | GGA-PBE | relaxed
# M_tot   0.00 Bohr magnetons per cell
# Formation enthalpy at 0 K   0.693 eV per formula unit
# Electronic total energy   -34.311 eV/cell
# Symmetry   R-3m, No. 166
# Crystal system   trigonal
data_CrTc2As
_chemical_formula_sum 'Cr1 Tc2 As1'
_cell_length_a 8.303
_cell_length_b 8.303
_cell_length_c 8.303
_cell_angle_alpha 19.72
_cell_angle_beta 19.72
_cell_angle_gamma 19.72
_symmetry_space_group_name_H-M 'P 1'
_symmetry_Int_Tables_number 1
_symmetry_space_group_name_Hall 'P 1'
loop_
_atom_site_label
_atom_site_fract_x
_atom_site_fract_y
_atom_site_fract_z
_atom_site_occupancy
Cr1 0.750 0.750 0.750 1
Tc1 0.498 0.498 0.498 1
Tc2 0.002 0.002 0.002 1
As1 0.250 0.250 0.250 1


(4)
# VCrTcAs | Alexandria | GGA-PBE | relaxed
# M_tot   0.22 Bohr magnetons per cell
# Formation enthalpy at 0 K   -0.449 eV per formula unit
# Electronic total energy   -34.206 eV/cell
# Symmetry   F-43m, No. 216
# Crystal system   cubic
data_VCrTcAs
_chemical_formula_sum 'V1 Cr1 Tc1 As1'
_cell_length_a 4.215
_cell_length_b 4.215
_cell_length_c 4.215
_cell_angle_alpha 60.00
_cell_angle_beta 60.00
_cell_angle_gamma 60.00
_symmetry_space_group_name_H-M 'P 1'
_symmetry_Int_Tables_number 1
_symmetry_space_group_name_Hall 'P 1'
loop_
_atom_site_label
_atom_site_fract_x
_atom_site_fract_y
_atom_site_fract_z
_atom_site_occupancy
Tc1 0.750 0.750 0.750 1
V1 0.000 0.000 0.000 1
Cr1 0.250 0.250 0.250 1
As1 0.500 0.500 0.500 1